Computed, not measured: a relaxed structure of ScGaIrPt at the GGA-PBE level of DFT.

Cell lengths 3.655, 4.162, 4.175 Å; angles 90.00, 90.00, 90.00 degrees
Element x y z (fractional)
Pt (0.000, 0.000, 0.000)
Sc (0.500, 0.000, 0.500)
Ir (0.000, 0.500, 0.500)
Ga (0.500, 0.500, 0.000)

Computed properties:
**Formation energy**: -868.9 meV per atom
**SG**: No. 47
**Final energy**: -27.74 eV per formula unit